## SiAgHg2Te4 (PBE)

Data for a relaxed structure of SiAgHg2Te4.

Properties
* space group: No. 42
* calculated total energy: -2.715 eV per atom
* formation energy from raw total energies: -0.03 eV/atom
* DOS at the Fermi energy: 3.031 states/eV/cell
* crystal system: orthorhombic

Cell: 8.010 8.008 6.492 Å, 66.11 66.07 47.82°
Element x y z (fractional)
Si: 0.000 0.000 0.000
Ag: 0.500 0.500 0.500
Hg: 0.250 0.250 0.250
Hg: 0.750 0.750 0.750
Te: 0.122 0.650 0.878
Te: 0.350 0.878 0.122
Te: 0.650 0.122 0.350
Te: 0.878 0.350 0.650